## TaTlNi2 (GGA-PBE)

Data for an optimized crystal structure of TaTlNi2.

Summary:
As for the distance to the lowest polymorph of the same formula: 2.14 eV/f.u. Its magnetic moment is 0.0 μB/f.u. The space group is I-42d.

Unit cell a=5.695 b=5.695 c=5.695 alpha=104.26 beta=104.26 gamma=120.49
Element x y z (fractional)
Ta: 0.000 0.000 0.000
Ta: 0.750 0.250 0.500
Tl: 0.250 0.750 0.500
Tl: 0.500 0.500 0.000
Ni: 0.099 0.625 0.974
Ni: 0.375 0.349 0.474
Ni: 0.651 0.125 0.026
Ni: 0.875 0.901 0.526